No. 1
First-principles (PBE) data for a relaxed structure of LiScP3, as listed in Alexandria.

Cell: 4.943 4.943 4.943 Å, 90.00 90.00 90.00°
Atoms (fractional coordinates):
Li (0.000, 0.000, 0.000)
Sc (0.500, 0.500, 0.500)
P (0.000, 0.500, 0.500)
P (0.500, 0.000, 0.500)
P (0.500, 0.500, 0.000)

## Properties
Crystal system ... cubic
ΔE to the lowest computed polymorph ... 0 meV per atom
Calculated formation energy ... 0.171 eV per atom
Electronic total energy ... -23.6 eV per formula unit
Volume ... 120.7 Å³ per cell


No. 2
First-principles (PBE) data for a relaxed structure of Li2ScP, as listed in Alexandria.

Cell: 4.405 4.405 4.405 Å, 120.09 120.09 89.84°
Atoms (fractional coordinates):
Li (0.000, 0.000, 0.000)
Li (0.750, 0.250, 0.500)
Sc (0.500, 0.500, 0.000)
P (0.250, 0.750, 0.500)

## Properties
Crystal system ... tetragonal
Calculated formation energy ... -0.482 eV per atom
Electronic total energy ... -17.5 eV per formula unit
Volume ... 60.4 Å³ per cell